DFT (PBE-GGA) results for an optimized crystal structure of CeAgP2O6.

Calculated values
DOS at the Fermi energy = 7.14 states/eV/f.u.
E_form (uncorrected) = -2057 meV per atom
raw total energy = -6.992 eV per atom

Cell: 8.8924 10.7407 8.0299 Å, 90.00 118.54 90.00°
Last column: nearest neighbours and their distance in Å.
Space group C2/c (No. 15)
Symmetry-distinct sites (fractional):
1 Ce 0.0000 0.0681 0.2500 [4 per cell]  4 O 2.32-2.40
2 Ag 0.0000 0.3341 0.7500 [4 per cell]  2 P 2.41, 2 O 2.56
3 P 0.2000 0.1791 0.7613 [8 per cell]  3 O 1.53-1.55
4 O 0.1057 0.0943 0.5844 [8 per cell]  1 P 1.55
5 O 0.1699 0.2324 0.2497 [8 per cell]  1 P 1.53
6 O 0.2379 0.4110 0.0686 [8 per cell]  1 P 1.55